This record from Alexandria describes a relaxed structure of SrTiAs2. The functional is PBE-GGA.

Summary:
magnetization = 0.0 μB/f.u.
E above lowest polymorph = 203.2 meV per atom
formation enthalpy at 0 K = -72 kJ per mole of atoms

Cell lengths 7.248, 7.248, 8.502 Å; angles 90.00, 90.00, 90.00 degrees
Element x y z (fractional)
Sr (0.000, 0.000, 0.000)
Sr (0.000, 0.500, 0.250)
Sr (0.500, 0.000, 0.750)
Sr (0.500, 0.500, 0.500)
Ti (0.000, 0.000, 0.500)
Ti (0.000, 0.500, 0.750)
Ti (0.500, 0.000, 0.250)
Ti (0.500, 0.500, 0.000)
As (0.180, 0.250, 0.625)
As (0.250, 0.680, 0.875)
As (0.250, 0.820, 0.375)
As (0.320, 0.250, 0.125)
As (0.680, 0.750, 0.125)
As (0.750, 0.180, 0.375)
As (0.750, 0.320, 0.875)
As (0.820, 0.750, 0.625)

This record from Alexandria describes a relaxed structure of ZrTe2N. The functional is PBE-GGA.

Summary:
magnetization = 0.0 μB/f.u.
raw formation energy = 370 meV/atom

Cell lengths 3.912, 3.912, 22.842 Å; angles 90.00, 90.00, 120.00 degrees
Element x y z (fractional)
Zr (0.000, 0.000, 0.000)
Zr (0.333, 0.667, 0.667)
Zr (0.667, 0.333, 0.333)
Te (0.000, 0.000, 0.414)
Te (0.000, 0.000, 0.586)
Te (0.333, 0.667, 0.081)
Te (0.333, 0.667, 0.253)
Te (0.667, 0.333, 0.747)
Te (0.667, 0.333, 0.919)
N (0.000, 0.000, 0.500)
N (0.333, 0.667, 0.167)
N (0.667, 0.333, 0.833)

This record from Alexandria describes a relaxed structure of TlH2W. The functional is PBE-GGA.

Summary:
magnetization = 1.7 μB/f.u.
E above lowest polymorph = 920.8 meV per atom

Cell lengths 5.773, 5.773, 5.773 Å; angles 90.00, 90.00, 90.00 degrees
Element x y z (fractional)
Tl (0.000, 0.000, 0.000)
Tl (0.000, 0.500, 0.500)
Tl (0.500, 0.000, 0.500)
Tl (0.500, 0.500, 0.000)
H (0.250, 0.250, 0.250)
H (0.250, 0.250, 0.750)
H (0.250, 0.750, 0.250)
H (0.250, 0.750, 0.750)
H (0.750, 0.250, 0.250)
H (0.750, 0.250, 0.750)
H (0.750, 0.750, 0.250)
H (0.750, 0.750, 0.750)
W (0.000, 0.000, 0.500)
W (0.000, 0.500, 0.000)
W (0.500, 0.000, 0.000)
W (0.500, 0.500, 0.500)

This record from Alexandria describes a relaxed structure of K2As2PbO6. The functional is PBE-GGA.

Summary:
magnetization = 0.0 μB/f.u.
raw formation energy = -1441 meV/atom

Cell lengths 6.178, 6.178, 7.314 Å; angles 117.87, 117.87, 60.52 degrees
Element x y z (fractional)
K (0.208, 0.208, 0.188)
K (0.792, 0.792, 0.812)
As (0.467, 0.467, 0.808)
As (0.533, 0.533, 0.192)
Pb (0.000, 0.000, 0.500)
O (0.220, 0.680, 0.210)
O (0.277, 0.277, 0.631)
O (0.320, 0.780, 0.790)
O (0.680, 0.220, 0.210)
O (0.723, 0.723, 0.369)
O (0.780, 0.320, 0.790)

This record from Alexandria describes a relaxed structure of Li2Zn2Mo. The functional is PBE-GGA.

Summary:
magnetization = 0.0 μB/f.u.
E above lowest polymorph = 193.8 meV per atom
formation enthalpy at 0 K = 30 kJ per mole of atoms

Cell lengths 3.503, 3.503, 12.072 Å; angles 90.00, 90.00, 90.00 degrees
Element x y z (fractional)
Li (0.000, 0.500, 0.250)
Li (0.000, 0.500, 0.750)
Li (0.500, 0.000, 0.250)
Li (0.500, 0.000, 0.750)
Zn (0.000, 0.000, 0.097)
Zn (0.000, 0.000, 0.903)
Zn (0.500, 0.500, 0.403)
Zn (0.500, 0.500, 0.597)
Mo (0.000, 0.000, 0.500)
Mo (0.500, 0.500, 0.000)

This record from Alexandria describes a relaxed structure of NbCuP. The functional is PBE-GGA.

Summary:
magnetization = 0.0 μB/f.u.
formation enthalpy at 0 K = -24 kJ per mole of atoms

Cell lengths 6.781, 6.781, 6.781 Å; angles 36.13, 36.13, 36.13 degrees
Element x y z (fractional)
Nb (0.108, 0.108, 0.108)
Nb (0.892, 0.892, 0.892)
Cu (0.357, 0.357, 0.357)
Cu (0.643, 0.643, 0.643)
P (0.238, 0.238, 0.238)
P (0.762, 0.762, 0.762)

This record from Alexandria describes a relaxed structure of CaGeOF2. The functional is PBE-GGA.

Summary:
magnetization = 0.0 μB/f.u.
E above lowest polymorph = 64.3 meV per atom
raw formation energy = -1942 meV/atom

Cell lengths 4.209, 4.209, 4.648 Å; angles 90.00, 90.00, 90.00 degrees
Element x y z (fractional)
Ca (0.000, 0.000, 0.000)
Ge (0.500, 0.500, 0.500)
O (0.000, 0.000, 0.500)
F (0.000, 0.500, 0.000)
F (0.500, 0.000, 0.000)

This record from Alexandria describes a relaxed structure of Tl2Hg2Rh. The functional is PBE-GGA.

Summary:
magnetization = 0.0 μB/f.u.
E above lowest polymorph = 0.0 meV per atom
formation enthalpy at 0 K = 0 kJ per mole of atoms

Cell lengths 5.300, 5.300, 5.363 Å; angles 90.00, 90.00, 90.00 degrees
Element x y z (fractional)
Tl (0.000, 0.500, 0.000)
Tl (0.500, 0.000, 0.000)
Hg (0.000, 0.000, 0.500)
Hg (0.500, 0.500, 0.500)
Rh (0.000, 0.000, 0.000)